# 1
VASP calculation (GGA-PBE) on crystalline InGaCu at its relaxed geometry.

abc: 4.3256 4.3256 6.1047
angles: 90.00 90.00 90.00
Fractional positions:
In 0.2500 0.7500 0.0000
In 0.7500 0.2500 0.0000
Ga 0.2500 0.7500 0.5000
Ga 0.7500 0.2500 0.5000
Cu 0.2500 0.2500 0.2789
Cu 0.7500 0.7500 0.7211

Results
Raw total energy ... -3.19 eV per atom
Space group ... P4/nmm



# 2
VASP calculation (GGA-PBE) on crystalline YHo3Pd4 at its relaxed geometry.

abc: 5.5768 4.5628 6.9046
angles: 90.00 90.21 90.00
Fractional positions:
Y 0.0000 0.0000 0.0000
Ho 0.2130 0.0000 0.4993
Ho 0.4992 0.5000 0.1348
Ho 0.7126 0.5000 0.6347
Pd 0.0108 0.5000 0.2800
Pd 0.2032 0.5000 0.7715
Pd 0.5104 0.0000 0.8570
Pd 0.6998 0.0000 0.3609

Results
Total magnetization ... 0.01 Bohr magnetons per cell
Space group ... Pm
Energy of formation from the pure elements ... -937 meV/atom